First-principles (PBE-GGA) data for crystalline La5Pr2Er5 at its relaxed geometry, as listed in Alexandria.

abc: 8.1778 8.1778 11.5287
angles: 115.39 115.39 36.52
With the nearest neighbours (Å) after each atom.
Atoms (fractional coordinates):
1 La 0.0000 0.0000 0.0000  4 La 3.61-3.62, 8 Er 3.63-3.64
2 La 0.0819 0.0819 0.7522  3 La 3.61-3.67, 7 Er 3.62-3.65, 2 Pr 3.62-3.69
3 La 0.2486 0.2486 0.2474  6 Er 3.61-3.67, 3 La 3.62-3.67, 3 Pr 3.65-3.67
4 La 0.7514 0.7514 0.7526  6 Er 3.61-3.67, 3 La 3.62-3.67, 3 Pr 3.65-3.67
5 La 0.9181 0.9181 0.2478  3 La 3.61-3.67, 7 Er 3.62-3.65, 2 Pr 3.62-3.69
6 Pr 0.1654 0.1654 0.4993  5 La 3.62-3.69, 5 Er 3.63-3.66, 2 Pr 3.67
7 Pr 0.8346 0.8346 0.5007  5 La 3.62-3.69, 5 Er 3.63-3.66, 2 Pr 3.67
8 Er 0.3330 0.3330 0.9995  8 La 3.61-3.65, 4 Er 3.64-3.65
9 Er 0.4169 0.4169 0.7500  6 La 3.62-3.64, 3 Pr 3.63-3.66, 3 Er 3.65
10 Er 0.5000 0.5000 0.5000  4 Pr 3.63, 6 La 3.65-3.67, 2 Er 3.65
11 Er 0.5831 0.5831 0.2500  6 La 3.62-3.64, 3 Pr 3.63-3.66, 3 Er 3.65
12 Er 0.6670 0.6670 0.0005  8 La 3.61-3.65, 4 Er 3.64-3.65

## Properties
- ΔH_f (0 K): 0.027 eV/atom
- Uncorrected energy: -4.724 eV per atom
- Size of the total moment: 0.0 μB per formula unit

=====

First-principles (PBE-GGA) data for crystalline BaTiIn at its relaxed geometry, as listed in Alexandria.

abc: 3.8046 4.2743 6.1988
angles: 90.00 90.00 90.00
With the nearest neighbours (Å) after each atom.
Atoms (fractional coordinates):
1 Ba 0.0000 0.0000 0.0000  4 In 3.64, 4 Ti 3.76, 2 Ba 3.80
2 Ti 0.0000 0.5000 0.5000  4 In 2.86
3 In 0.5000 0.0000 0.5000  4 Ti 2.86

## Properties
- ΔH_f (0 K): 0.244 eV/atom
- Uncorrected energy: -3.942 eV per atom
- Size of the total moment: 1.9 μB per formula unit
- Energy above the lowest structure with this stoichiometry: 68.3 meV/atom

=====

First-principles (PBE-GGA) data for crystalline HoTm5Ag6 at its relaxed geometry, as listed in Alexandria.

abc: 8.0704 8.0704 7.1136
angles: 90.00 90.00 143.07
With the nearest neighbours (Å) after each atom.
Atoms (fractional coordinates):
1 Ho 0.0000 0.0000 0.0000  8 Ag 3.12-3.13
2 Tm 0.0000 0.0000 0.5000  8 Ag 3.11-3.12
3 Tm 0.3331 0.6669 0.0000  8 Ag 3.10-3.12
4 Tm 0.3337 0.6663 0.5000  8 Ag 3.10-3.11
5 Tm 0.6663 0.3337 0.5000  8 Ag 3.10-3.11
6 Tm 0.6669 0.3331 0.0000  8 Ag 3.10-3.12
7 Ag 0.1676 0.8324 0.2514  7 Tm 3.10-3.12, 1 Ho 3.13
8 Ag 0.1676 0.8324 0.7486  7 Tm 3.10-3.12, 1 Ho 3.13
9 Ag 0.5000 0.5000 0.2517  6 Tm 3.10-3.12, 2 Ho 3.12
10 Ag 0.5000 0.5000 0.7483  6 Tm 3.10-3.12, 2 Ho 3.12
11 Ag 0.8324 0.1676 0.2514  7 Tm 3.10-3.12, 1 Ho 3.13
12 Ag 0.8324 0.1676 0.7486  7 Tm 3.10-3.12, 1 Ho 3.13

## Properties
- ΔH_f (0 K): -0.340 eV/atom
- Uncorrected energy: -4.010 eV per atom
- Size of the total moment: 0.0 μB per formula unit

=====

First-principles (PBE-GGA) data for crystalline Zr2AlSn at its relaxed geometry, as listed in Alexandria.

abc: 4.3938 4.3938 4.3193
angles: 90.00 90.00 90.00
With the nearest neighbours (Å) after each atom.
Atoms (fractional coordinates):
1 Zr 0.0000 0.5000 0.0000  4 Sn 3.08, 4 Al 3.08, 4 Zr 3.11
2 Zr 0.5000 0.0000 0.0000  4 Sn 3.08, 4 Al 3.08, 4 Zr 3.11
3 Al 0.0000 0.0000 0.5000  8 Zr 3.08, 4 Sn 3.11
4 Sn 0.5000 0.5000 0.5000  8 Zr 3.08, 4 Al 3.11

## Properties
- ΔH_f (0 K): -0.436 eV/atom
- Uncorrected energy: -6.647 eV per atom
- Size of the total moment: 0.0 μB per formula unit

=====

First-principles (PBE-GGA) data for crystalline TbSc5Sb4 at its relaxed geometry, as listed in Alexandria.

abc: 6.9431 6.9431 5.6662
angles: 90.00 90.00 91.40
With the nearest neighbours (Å) after each atom.
Atoms (fractional coordinates):
1 Tb 0.0000 0.0000 0.0000  6 Sb 3.26-3.36
2 Sc 0.0000 0.5000 0.2499  2 Sc 2.83, 4 Sb 2.91-2.93
3 Sc 0.0000 0.5000 0.7501  2 Sc 2.83, 4 Sb 2.91-2.93
4 Sc 0.5000 0.0000 0.2499  2 Sc 2.83, 4 Sb 2.91-2.93
5 Sc 0.5000 0.0000 0.7501  2 Sc 2.83, 4 Sb 2.91-2.93
6 Sc 0.5000 0.5000 0.5000  6 Sb 3.04-3.31
7 Sb 0.1867 0.1867 0.5000  5 Sc 2.93-3.04
8 Sb 0.3282 0.6718 0.0000  4 Sc 2.91, 1 Tb 3.26
9 Sb 0.6718 0.3282 0.0000  4 Sc 2.91, 1 Tb 3.26
10 Sb 0.8133 0.8133 0.5000  5 Sc 2.93-3.04

## Properties
- Uncorrected energy: -5.822 eV per atom
- Size of the total moment: 1.5 μB per formula unit

=====

First-principles (PBE-GGA) data for crystalline ZrSc at its relaxed geometry, as listed in Alexandria.

abc: 3.2396 3.2396 10.4374
angles: 90.00 90.00 120.00
With the nearest neighbours (Å) after each atom.
Atoms (fractional coordinates):
1 Zr 0.3333 0.6667 0.2500  6 Sc 3.21, 6 Zr 3.24
2 Zr 0.6667 0.3333 0.7500  6 Sc 3.21, 6 Zr 3.24
3 Sc 0.0000 0.0000 0.0000  6 Zr 3.21, 6 Sc 3.24
4 Sc 0.0000 0.0000 0.5000  6 Zr 3.21, 6 Sc 3.24

## Properties
- ΔH_f (0 K): 0.029 eV/atom
- Uncorrected energy: -7.411 eV per atom
- Size of the total moment: 0.0 μB per formula unit

=====

First-principles (PBE-GGA) data for crystalline Ce4Si2H at its relaxed geometry, as listed in Alexandria.

abc: 8.6637 8.6637 8.6637
angles: 150.45 150.45 42.28
With the nearest neighbours (Å) after each atom.
Atoms (fractional coordinates):
1 Ce 0.0000 0.5000 0.5000  2 H 2.21
2 Ce 0.1795 0.1795 0.0000  1 H 2.90, 5 Si 3.02-3.21
3 Ce 0.5000 0.0000 0.5000  2 H 2.21
4 Ce 0.8205 0.8205 0.0000  1 H 2.90, 5 Si 3.02-3.21
5 Si 0.3664 0.3664 0.0000  9 Ce 3.02-3.21
6 Si 0.6336 0.6336 0.0000  9 Ce 3.02-3.21
7 H 0.0000 0.0000 0.0000  4 Ce 2.21

## Properties
- Uncorrected energy: -5.873 eV per atom
- Size of the total moment: 3.3 μB per formula unit
- Energy above the lowest structure with this stoichiometry: 0.0 meV/atom

=====

First-principles (PBE-GGA) data for crystalline Li4Fe at its relaxed geometry, as listed in Alexandria.

abc: 5.1994 5.1994 5.1994
angles: 109.47 109.47 109.47
With the nearest neighbours (Å) after each atom.
Atoms (fractional coordinates):
1 Li 0.0000 0.0000 0.5000  2 Fe 2.60
2 Li 0.0000 0.5000 0.0000  2 Fe 2.60
3 Li 0.5000 0.0000 0.0000  2 Fe 2.60
4 Li 0.5000 0.5000 0.5000  2 Fe 2.60
5 Fe 0.0000 0.0000 0.0000  8 Li 2.60

## Properties
- ΔH_f (0 K): 0.596 eV/atom
- Uncorrected energy: -2.627 eV per atom
- Size of the total moment: 2.4 μB per formula unit
- Energy above the lowest structure with this stoichiometry: 100.2 meV/atom

=====

First-principles (PBE-GGA) data for crystalline SnTe2PdN at its relaxed geometry, as listed in Alexandria.

abc: 5.8119 5.8119 3.8346
angles: 90.00 90.00 90.00
With the nearest neighbours (Å) after each atom.
Atoms (fractional coordinates):
1 Sn 0.0000 0.0000 0.0000  2 N 1.92
2 Te 0.0000 0.5000 0.0000  2 Sn 2.91
3 Te 0.5000 0.0000 0.0000  2 Sn 2.91
4 Pd 0.5000 0.5000 0.5000  8 Te 3.48, 2 Pd 3.83
5 N 0.0000 0.0000 0.5000  2 Sn 1.92

## Properties
- Uncorrected energy: -3.792 eV per atom
- Size of the total moment: 0.6 μB per formula unit
- Energy above the lowest structure with this stoichiometry: 481.1 meV/atom

=====

First-principles (PBE-GGA) data for crystalline TaCoGe2As at its relaxed geometry, as listed in Alexandria.

abc: 4.3453 4.3453 4.8737
angles: 90.00 90.00 90.00
With the nearest neighbours (Å) after each atom.
Atoms (fractional coordinates):
1 Ta 0.0000 0.0000 0.0000  2 Co 2.44
2 Co 0.0000 0.0000 0.5000  4 Ge 2.17
3 Ge 0.0000 0.5000 0.5000  2 Co 2.17
4 Ge 0.5000 0.0000 0.5000  2 Co 2.17
5 As 0.5000 0.5000 0.0000  4 Ta 3.07, 8 Ge 3.26

## Properties
- ΔH_f (0 K): 0.376 eV/atom
- Uncorrected energy: -6.193 eV per atom
- Size of the total moment: 0.0 μB per formula unit

=====

First-principles (PBE-GGA) data for crystalline GaFe7Co4 at its relaxed geometry, as listed in Alexandria.

abc: 4.7429 4.9516 6.2272
angles: 82.81 77.48 80.12
With the nearest neighbours (Å) after each atom.
Atoms (fractional coordinates):
1 Ga 0.0000 0.0000 0.0000  6 Fe 2.48-2.52, 2 Co 2.52
2 Fe 0.0000 0.5000 0.0000  4 Fe 2.44-2.46, 2 Ga 2.48, 2 Co 2.49
3 Fe 0.1716 0.0823 0.3382  4 Co 2.42-2.48, 3 Fe 2.45-2.49, 1 Ga 2.52
4 Fe 0.3315 0.6699 0.6675  5 Co 2.42-2.49, 3 Fe 2.46-2.50
5 Fe 0.4929 0.2529 0.9973  5 Fe 2.44-2.50, 2 Co 2.46-2.47, 1 Ga 2.52
6 Fe 0.5071 0.7471 0.0027  5 Fe 2.44-2.50, 2 Co 2.46-2.47, 1 Ga 2.52
7 Fe 0.6685 0.3301 0.3325  5 Co 2.42-2.49, 3 Fe 2.46-2.50
8 Fe 0.8284 0.9177 0.6618  4 Co 2.42-2.48, 3 Fe 2.45-2.49, 1 Ga 2.52
9 Co 0.1716 0.5822 0.3341  6 Fe 2.46-2.49, 2 Co 2.48-2.50
10 Co 0.3374 0.1729 0.6596  6 Fe 2.42-2.49, 1 Co 2.50, 1 Ga 2.52
11 Co 0.6626 0.8271 0.3404  6 Fe 2.42-2.49, 1 Co 2.50, 1 Ga 2.52
12 Co 0.8284 0.4178 0.6659  6 Fe 2.46-2.49, 2 Co 2.48-2.50

## Properties
- ΔH_f (0 K): -0.053 eV/atom
- Uncorrected energy: -7.611 eV per atom
- Size of the total moment: 24.3 μB per formula unit

=====

First-principles (PBE-GGA) data for crystalline PrEuMgPb at its relaxed geometry, as listed in Alexandria.

abc: 5.5841 5.5841 5.5841
angles: 60.00 60.00 60.00
With the nearest neighbours (Å) after each atom.
Atoms (fractional coordinates):
1 Pr 0.0000 0.0000 0.0000  4 Mg 3.42, 4 Pb 3.42
2 Eu 0.5000 0.5000 0.5000  4 Pb 3.42, 4 Mg 3.42
3 Mg 0.7500 0.7500 0.7500  4 Eu 3.42, 4 Pr 3.42
4 Pb 0.2500 0.2500 0.2500  4 Eu 3.42, 4 Pr 3.42

## Properties
- ΔH_f (0 K): -0.340 eV/atom
- Uncorrected energy: -5.429 eV per atom
- Size of the total moment: 7.7 μB per formula unit

=====

One value per record, in order, for calculated volume: 34.1 33.6 23.2 20.8 27.3 23.7 22.5 21.6 25.9 18.4 11.7 30.8 Å³/atom.